VASP calculation (GGA-PBE) on a relaxed structure of Tm12Al5In2.

The structure in POSCAR format:
```
Tm12Al5In2
1.0
7.842 -3.573 0.000
7.842 3.573 0.000
-0.406 0.000 9.557
Tm Al In
12 5 2
direct
0.028 0.028 0.314
0.076 0.555 0.866
0.090 0.618 0.439
0.382 0.910 0.561
0.407 0.407 0.174
0.445 0.924 0.134
0.555 0.076 0.866
0.593 0.593 0.826
0.618 0.090 0.439
0.910 0.382 0.561
0.924 0.445 0.134
0.972 0.972 0.686
0.147 0.147 0.851
0.222 0.222 0.349
0.500 0.500 0.500
0.778 0.778 0.651
0.853 0.853 0.149
0.202 0.798 0.000
0.798 0.202 0.000
```

Summary:
VASP energy   -4.15 eV per atom
M_tot   0.0 μB/f.u.


VASP calculation (GGA-PBE) on a relaxed structure of TmAl4In.

The structure in POSCAR format:
```
TmAl4In
1.0
0.000 3.914 3.914
3.914 0.000 3.914
3.914 3.914 0.000
Tm Al In
1 4 1
direct
0.000 0.000 0.000
0.374 0.374 0.374
0.374 0.374 0.877
0.374 0.877 0.374
0.877 0.374 0.374
0.750 0.750 0.750
```

Summary:
VASP energy   -3.87 eV per atom
M_tot   0.0 μB/f.u.


VASP calculation (GGA-PBE) on a relaxed structure of TmAlIn.

The structure in POSCAR format:
```
TmAlIn
1.0
4.512 0.000 0.000
-2.256 3.908 0.000
0.000 0.000 8.841
Tm Al In
2 2 2
direct
0.333 0.667 0.000
0.667 0.333 0.500
0.333 0.667 0.341
0.667 0.333 0.841
0.000 0.000 0.234
0.000 0.000 0.734
```

Summary:
VASP energy   -3.76 eV per atom
M_tot   0.0 μB/f.u.


VASP calculation (GGA-PBE) on a relaxed structure of TmAl2In.

The structure in POSCAR format:
```
TmAl2In
1.0
4.404 0.000 0.000
0.000 4.404 0.000
0.000 0.000 4.278
Tm Al In
1 2 1
direct
0.000 0.000 0.000
0.000 0.500 0.500
0.500 0.000 0.500
0.500 0.500 0.000
```

Summary:
VASP energy   -4.02 eV per atom
M_tot   0.0 μB/f.u.